# Rb2Li2VF6 (GGA+U, optimized geometry)
data_Rb2Li2VF6
_cell_length_a 6.0164
_cell_length_b 6.0164
_cell_length_c 16.9474
_cell_angle_alpha 90.00
_cell_angle_beta 90.00
_cell_angle_gamma 120.00
_space_group_name_H-M_alt 'R -3 m'
_space_group_IT_number 166
_space_group_name_Hall '-R 3 2"'
loop_
_atom_site_label
_atom_site_type_symbol
_atom_site_fract_x
_atom_site_fract_y
_atom_site_fract_z
Rb1 Rb 0.0000 0.0000 0.2195
Li1 Li 0.0000 0.0000 0.4130
V1 V 0.0000 0.0000 0.0000
F1 F 0.0098 0.5049 0.7437
# - D(E_F) (states/eV/cell) = 0.00
# - energy (eV per cell) = -164.51
# - calculated volume (Å³ per cell) = 531.3